[1]
# NdDyMgIn | Alexandria | GGA-PBE | optimized geometry
data_NdDyMgIn
_space_group_name_H-M_alt 'F -4 3 m'
_space_group_IT_number 216
_space_group_name_Hall 'F -4 2 3'
_cell_length_a 7.630
_cell_length_b 7.630
_cell_length_c 7.630
_cell_angle_alpha 90.00
_cell_angle_beta 90.00
_cell_angle_gamma 90.00
loop_
_atom_site_label
_atom_site_fract_x
_atom_site_fract_y
_atom_site_fract_z
Nd1 0.000 0.000 0.000
Dy1 0.000 0.000 0.500
Mg1 0.250 0.250 0.750
In1 0.250 0.250 0.250
# - E_tot: -60.05 eV per cell
# - Total magnetization: 0.000 μB per atom
# - Energy of formation from the pure elements: -0.328 eV/atom
# - DOS at the Fermi energy: 11.10 states/eV/cell

[2]
# NdDy2Mg2In2 | Alexandria | GGA-PBE | optimized geometry
data_NdDy2Mg2In2
_space_group_name_H-M_alt 'R -3 m'
_space_group_IT_number 166
_space_group_name_Hall '-R 3 2"'
_cell_length_a 5.0360
_cell_length_b 5.0360
_cell_length_c 26.3321
_cell_angle_alpha 90.00
_cell_angle_beta 90.00
_cell_angle_gamma 120.00
loop_
_atom_site_label
_atom_site_fract_x
_atom_site_fract_y
_atom_site_fract_z
Nd1 0.0000 0.0000 0.0000
Dy1 0.0000 0.0000 0.1298
Mg1 0.0000 0.0000 0.2650
In1 0.0000 0.0000 0.4060
# - E_tot: -71.84 eV per cell
# - Total magnetization: 0.000 μB per atom
# - Energy of formation from the pure elements: -0.187 eV/atom
# - DOS at the Fermi energy: 15.46 states/eV/cell

[3]
# Nd2DyMg2In2 | Alexandria | GGA-PBE | optimized geometry
data_Nd2DyMg2In2
_space_group_name_H-M_alt 'R -3 m'
_space_group_IT_number 166
_space_group_name_Hall '-R 3 2"'
_cell_length_a 5.0169
_cell_length_b 5.0169
_cell_length_c 26.9281
_cell_angle_alpha 90.00
_cell_angle_beta 90.00
_cell_angle_gamma 120.00
loop_
_atom_site_label
_atom_site_fract_x
_atom_site_fract_y
_atom_site_fract_z
Nd1 0.0000 0.0000 0.1285
Dy1 0.0000 0.0000 0.0000
Mg1 0.0000 0.0000 0.3956
In1 0.0000 0.0000 0.2659
# - E_tot: -73.64 eV per cell
# - Total magnetization: 0.000 μB per atom
# - Energy of formation from the pure elements: -0.249 eV/atom
# - DOS at the Fermi energy: 14.73 states/eV/cell

[4]
# DyMgInPb | Alexandria | GGA-PBE | optimized geometry
data_DyMgInPb
_space_group_name_H-M_alt 'F -4 3 m'
_space_group_IT_number 216
_space_group_name_Hall 'F -4 2 3'
_cell_length_a 7.510
_cell_length_b 7.510
_cell_length_c 7.510
_cell_angle_alpha 90.00
_cell_angle_beta 90.00
_cell_angle_gamma 90.00
loop_
_atom_site_label
_atom_site_fract_x
_atom_site_fract_y
_atom_site_fract_z
Dy1 0.000 0.000 0.000
Mg1 0.000 0.000 0.500
In1 0.250 0.250 0.750
Pb1 0.250 0.250 0.250
# - Energy above the most stable polymorph in this dataset: 0.155 eV/atom
# - E_tot: -53.85 eV per cell
# - Total magnetization: 0.000 μB per atom
# - Energy of formation from the pure elements: -0.205 eV/atom
# - DOS at the Fermi energy: 14.77 states/eV/cell

[5]
# DyMgInPb | Alexandria | GGA-PBE | optimized geometry
data_DyMgInPb
_space_group_name_H-M_alt 'P m m m'
_space_group_IT_number 47
_cell_length_a 4.496
_cell_length_b 4.682
_cell_length_c 4.847
_cell_angle_alpha 90.00
_cell_angle_beta 90.00
_cell_angle_gamma 90.00
loop_
_space_group_symop_operation_xyz
'x,y,z'
'-x,-y,-z'
'-x,-y,z'
'x,y,-z'
'x,-y,-z'
'-x,y,z'
'-x,y,-z'
'x,-y,z'
loop_
_atom_site_label
_atom_site_fract_x
_atom_site_fract_y
_atom_site_fract_z
Dy1 0.000 0.000 0.000
Mg1 0.000 0.500 0.500
In1 0.500 0.000 0.500
Pb1 0.500 0.500 0.000
# - Energy above the most stable polymorph in this dataset: 0.000 eV/atom
# - E_tot: -14.08 eV per cell
# - Total magnetization: 0.000 μB per atom
# - Energy of formation from the pure elements: -0.359 eV/atom
# - DOS at the Fermi energy: 1.87 states/eV/cell

[6]
# DyMg2InPd4 | Alexandria | GGA-PBE | optimized geometry
data_DyMg2InPd4
_space_group_name_H-M_alt 'R -3 m'
_space_group_IT_number 166
_space_group_name_Hall '-R 3 2"'
_cell_length_a 4.6805
_cell_length_b 4.6805
_cell_length_c 22.8211
_cell_angle_alpha 90.00
_cell_angle_beta 90.00
_cell_angle_gamma 120.00
loop_
_atom_site_label
_atom_site_fract_x
_atom_site_fract_y
_atom_site_fract_z
Dy1 0.0000 0.0000 0.0000
Mg1 0.0000 0.0000 0.2472
In1 0.0000 0.0000 0.5000
Pd1 0.0000 0.0000 0.1259
Pd2 0.0000 0.0000 0.3793
# - E_tot: -111.39 eV per cell
# - Total magnetization: 0.000 μB per atom
# - Energy of formation from the pure elements: -0.729 eV/atom
# - DOS at the Fermi energy: 11.07 states/eV/cell

[7]
# DyMgIn2Pd4 | Alexandria | GGA-PBE | optimized geometry
data_DyMgIn2Pd4
_space_group_name_H-M_alt 'R -3 m'
_space_group_IT_number 166
_space_group_name_Hall '-R 3 2"'
_cell_length_a 4.7211
_cell_length_b 4.7211
_cell_length_c 22.7881
_cell_angle_alpha 90.00
_cell_angle_beta 90.00
_cell_angle_gamma 120.00
loop_
_atom_site_label
_atom_site_fract_x
_atom_site_fract_y
_atom_site_fract_z
Dy1 0.0000 0.0000 0.0000
Mg1 0.0000 0.0000 0.5000
In1 0.0000 0.0000 0.2489
Pd1 0.0000 0.0000 0.1268
Pd2 0.0000 0.0000 0.3788
# - E_tot: -114.86 eV per cell
# - Total magnetization: 0.000 μB per atom
# - Energy of formation from the pure elements: -0.730 eV/atom
# - DOS at the Fermi energy: 11.19 states/eV/cell

[8]
# DyMgInPd | Alexandria | GGA-PBE | optimized geometry
data_DyMgInPd
_space_group_name_H-M_alt 'F -4 3 m'
_space_group_IT_number 216
_space_group_name_Hall 'F -4 2 3'
_cell_length_a 7.004
_cell_length_b 7.004
_cell_length_c 7.004
_cell_angle_alpha 90.00
_cell_angle_beta 90.00
_cell_angle_gamma 90.00
loop_
_atom_site_label
_atom_site_fract_x
_atom_site_fract_y
_atom_site_fract_z
Dy1 0.000 0.000 0.000
Mg1 0.000 0.000 0.500
In1 0.250 0.250 0.750
Pd1 0.250 0.250 0.250
# - E_tot: -65.37 eV per cell
# - Total magnetization: 0.000 μB per atom
# - Energy of formation from the pure elements: -0.554 eV/atom
# - DOS at the Fermi energy: 4.39 states/eV/cell

[9]
# Pr2DyMg2In2 | Alexandria | GGA-PBE | optimized geometry
data_Pr2DyMg2In2
_space_group_name_H-M_alt 'R -3 m'
_space_group_IT_number 166
_space_group_name_Hall '-R 3 2"'
_cell_length_a 5.0243
_cell_length_b 5.0243
_cell_length_c 27.0948
_cell_angle_alpha 90.00
_cell_angle_beta 90.00
_cell_angle_gamma 120.00
loop_
_atom_site_label
_atom_site_fract_x
_atom_site_fract_y
_atom_site_fract_z
Pr1 0.0000 0.0000 0.1285
Dy1 0.0000 0.0000 0.0000
Mg1 0.0000 0.0000 0.3945
In1 0.0000 0.0000 0.2668
# - E_tot: -73.80 eV per cell
# - Total magnetization: 0.000 μB per atom
# - Energy of formation from the pure elements: -0.253 eV/atom
# - DOS at the Fermi energy: 15.04 states/eV/cell

[10]
# DyMgInRh | Alexandria | GGA-PBE | optimized geometry
data_DyMgInRh
_space_group_name_H-M_alt 'F -4 3 m'
_space_group_IT_number 216
_space_group_name_Hall 'F -4 2 3'
_cell_length_a 6.928
_cell_length_b 6.928
_cell_length_c 6.928
_cell_angle_alpha 90.00
_cell_angle_beta 90.00
_cell_angle_gamma 90.00
loop_
_atom_site_label
_atom_site_fract_x
_atom_site_fract_y
_atom_site_fract_z
Dy1 0.000 0.000 0.000
Mg1 0.000 0.000 0.500
In1 0.250 0.250 0.750
Rh1 0.250 0.250 0.250
# - E_tot: -72.03 eV per cell
# - Total magnetization: 0.000 μB per atom
# - Energy of formation from the pure elements: -0.430 eV/atom
# - DOS at the Fermi energy: 11.72 states/eV/cell

Question: Which of these has the highest E_tot?
Answer: number 5

Question: Among the records above, which one has the highest DOS at the Fermi energy?
Answer: NdDy2Mg2In2